A plane-wave DFT calculation with PBE was carried out for an optimized crystal structure of Cs2KMoS4.

Geometry as POSCAR:
```
Cs2KMoS4
1.0
-2.291 4.739 -4.864
-3.231 -2.847 -6.533
-13.021 2.569 3.355
S K Cs Mo
8 2 4 2
Direct
0.279 0.195 0.901
0.224 0.305 0.401
0.375 0.805 0.099
0.930 0.695 0.599
0.471 0.305 0.599
0.375 0.695 0.401
0.526 0.195 0.099
0.820 0.805 0.901
0.750 0.500 0.500
0.000 0.000 0.000
0.936 0.500 0.127
0.814 0.000 0.373
0.186 0.000 0.627
0.564 0.500 0.873
0.250 0.500 0.500
0.500 0.000 0.000
```

Results
- space-group type = No. 70
- crystal system = orthorhombic
- energy (eV for the cell shown) = -74.31
- formation energy without anion corrections (eV per formula unit) = -7.012
- total magnetic moment (μB/cell) = 2.03

=====

A plane-wave DFT calculation with PBE was carried out for an optimized crystal structure of NpNi6As4.

Geometry as POSCAR:
```
NpNi6As4
1.0
6.118 -0.031 -0.045
-2.856 5.410 0.045
-2.856 -1.947 5.048
Ni As Np
6 4 1
Direct
0.297 0.534 0.534
0.500 0.000 0.500
0.000 0.466 0.764
0.500 0.500 0.000
0.000 0.764 0.466
0.703 0.236 0.236
0.000 0.557 0.128
0.430 0.872 0.872
0.000 0.128 0.557
0.570 0.443 0.443
0.000 0.000 0.000
```

Results
- space-group type = No. 121
- crystal system = tetragonal
- energy (eV for the cell shown) = -69.60
- total magnetic moment (μB/cell) = 4.26
- energy relative to the elements (kJ/mol of formula units) = -325

=====

Q: Among the records above, which one has the highest energy?
A: NpNi6As4

=====

Q: The highest total magnetic moment belongs to which entry?
A: NpNi6As4

=====

Q: energy of number 2 (NpNi6As4)?
A: -69.60 eV for the cell shown